Record 1
A plane-wave DFT calculation with PBE-GGA was carried out for a geometry-optimized TaOs2Br structure.

Calculated values
- E (eV/f.u.) = -32.0
- polymorph energy (0 for the lowest one) (kcal/mol of atoms) = 13.38
- raw formation energy (eV/atom) = 0.99
- crystal system = cubic
- magnetization (μB/cell) = 0.0
- calculated volume (Å³/f.u.) = 65.41
- density of states at the Fermi level (states/eV/atom) = 1.06

a b c (Å): 4.523 4.523 4.523
angles (deg): 60.00 60.00 60.00
Positions (direct):
1 Ta 0.000 0.000 0.000
2 Os 0.250 0.250 0.250
3 Os 0.500 0.500 0.500
4 Br 0.750 0.750 0.750


Record 2
A plane-wave DFT calculation with PBE-GGA was carried out for a geometry-optimized TaOsBr3 structure.

Calculated values
- E (eV/f.u.) = -20.7
- polymorph energy (0 for the lowest one) (kcal/mol of atoms) = 4.49
- raw formation energy (eV/atom) = 1.48
- crystal system = cubic
- magnetization (μB/cell) = 2.7
- calculated volume (Å³/f.u.) = 126.62
- density of states at the Fermi level (states/eV/atom) = 1.23

a b c (Å): 5.022 5.022 5.022
angles (deg): 90.00 90.00 90.00
Positions (direct):
1 Ta 0.000 0.000 0.000
2 Os 0.500 0.500 0.500
3 Br 0.000 0.500 0.500
4 Br 0.500 0.000 0.500
5 Br 0.500 0.500 0.000


Record 3
A plane-wave DFT calculation with PBE-GGA was carried out for a geometry-optimized TaOs2Br structure.

Calculated values
- E (eV/f.u.) = -34.4
- polymorph energy (0 for the lowest one) (kcal/mol of atoms) = 0.00
- raw formation energy (eV/atom) = 0.41
- crystal system = monoclinic
- magnetization (μB/cell) = 0.0
- calculated volume (Å³/f.u.) = 85.24
- density of states at the Fermi level (states/eV/atom) = 0.51

a b c (Å): 2.986 3.664 7.791
angles (deg): 90.00 90.20 90.00
Positions (direct):
1 Ta 0.000 0.000 0.000
2 Os 0.498 0.500 0.795
3 Os 0.997 0.000 0.674
4 Br 0.004 0.500 0.252


Record 4
A plane-wave DFT calculation with PBE-GGA was carried out for a geometry-optimized TaOsBr2 structure.

Calculated values
- E (eV/f.u.) = -21.1
- polymorph energy (0 for the lowest one) (kcal/mol of atoms) = 32.97
- raw formation energy (eV/atom) = 1.33
- crystal system = tetragonal
- magnetization (μB/cell) = 1.6
- calculated volume (Å³/f.u.) = 73.61
- density of states at the Fermi level (states/eV/atom) = 0.81

a b c (Å): 5.082 5.082 5.082
angles (deg): 130.76 130.76 72.19
Positions (direct):
1 Ta 0.000 0.000 0.000
2 Os 0.500 0.500 0.000
3 Br 0.250 0.750 0.500
4 Br 0.750 0.250 0.500


Record 5
A plane-wave DFT calculation with PBE-GGA was carried out for a geometry-optimized TaOs2Br structure.

Calculated values
- E (eV/f.u.) = -31.9
- polymorph energy (0 for the lowest one) (kcal/mol of atoms) = 14.18
- raw formation energy (eV/atom) = 1.02
- crystal system = tetragonal
- magnetization (μB/cell) = 0.0
- calculated volume (Å³/f.u.) = 66.05
- density of states at the Fermi level (states/eV/atom) = 0.75

a b c (Å): 4.659 4.659 3.043
angles (deg): 90.00 90.00 90.00
Positions (direct):
1 Ta 0.000 0.000 0.000
2 Os 0.000 0.500 0.500
3 Os 0.500 0.000 0.500
4 Br 0.500 0.500 0.000


Record 6
A plane-wave DFT calculation with PBE-GGA was carried out for a geometry-optimized TaOs3Br structure.

Calculated values
- E (eV/f.u.) = -34.8
- polymorph energy (0 for the lowest one) (kcal/mol of atoms) = 5.24
- raw formation energy (eV/atom) = 2.48
- crystal system = cubic
- magnetization (μB/cell) = 5.0
- calculated volume (Å³/f.u.) = 116.48
- density of states at the Fermi level (states/eV/atom) = 1.10

a b c (Å): 4.884 4.884 4.884
angles (deg): 90.00 90.00 90.00
Positions (direct):
1 Ta 0.000 0.000 0.000
2 Os 0.000 0.000 0.500
3 Os 0.000 0.500 0.000
4 Os 0.500 0.000 0.000
5 Br 0.500 0.500 0.500


Record 7
A plane-wave DFT calculation with PBE-GGA was carried out for a geometry-optimized TaOsBr2 structure.

Calculated values
- E (eV/f.u.) = -25.7
- polymorph energy (0 for the lowest one) (kcal/mol of atoms) = 6.44
- raw formation energy (eV/atom) = 0.18
- crystal system = monoclinic
- magnetization (μB/cell) = 0.0
- calculated volume (Å³/f.u.) = 103.05
- density of states at the Fermi level (states/eV/atom) = 0.39

a b c (Å): 7.763 7.763 4.134
angles (deg): 92.93 92.93 24.47
Positions (direct):
1 Ta 0.000 0.000 0.000
2 Os 0.500 0.500 0.500
3 Br 0.356 0.356 0.784
4 Br 0.644 0.644 0.216


Record 8
A plane-wave DFT calculation with PBE-GGA was carried out for a geometry-optimized TaOsBr2 structure.

Calculated values
- E (eV/f.u.) = -23.0
- polymorph energy (0 for the lowest one) (kcal/mol of atoms) = 22.30
- raw formation energy (eV/atom) = 0.86
- crystal system = trigonal
- magnetization (μB/cell) = 2.0
- calculated volume (Å³/f.u.) = 83.46
- density of states at the Fermi level (states/eV/atom) = 0.41

a b c (Å): 10.338 10.338 10.338
angles (deg): 17.11 17.11 17.11
Positions (direct):
1 Ta 0.000 0.000 0.000
2 Os 0.500 0.500 0.500
3 Br 0.268 0.268 0.268
4 Br 0.732 0.732 0.732


Record 9
A plane-wave DFT calculation with PBE-GGA was carried out for a geometry-optimized TaOsBr3 structure.

Calculated values
- E (eV/f.u.) = -21.7
- polymorph energy (0 for the lowest one) (kcal/mol of atoms) = 0.00
- raw formation energy (eV/atom) = 1.28
- crystal system = cubic
- magnetization (μB/cell) = 3.1
- calculated volume (Å³/f.u.) = 136.49
- density of states at the Fermi level (states/eV/atom) = 1.00

a b c (Å): 5.149 5.149 5.149
angles (deg): 90.00 90.00 90.00
Positions (direct):
1 Ta 0.000 0.000 0.000
2 Os 0.500 0.500 0.500
3 Br 0.000 0.000 0.500
4 Br 0.000 0.500 0.000
5 Br 0.500 0.000 0.000


Record 10
A plane-wave DFT calculation with PBE-GGA was carried out for a geometry-optimized TaOs2Br structure.

Calculated values
- E (eV/f.u.) = -33.3
- polymorph energy (0 for the lowest one) (kcal/mol of atoms) = 5.82
- raw formation energy (eV/atom) = 0.66
- crystal system = orthorhombic
- magnetization (μB/cell) = 0.0
- calculated volume (Å³/f.u.) = 75.54
- density of states at the Fermi level (states/eV/atom) = 1.03

a b c (Å): 2.817 2.817 10.342
angles (deg): 90.00 90.00 113.04
Positions (direct):
1 Ta 0.000 0.000 0.000
2 Os 0.500 0.500 0.201
3 Os 0.500 0.500 0.799
4 Br 0.000 0.000 0.500


Record 11
A plane-wave DFT calculation with PBE-GGA was carried out for a geometry-optimized TaOsBr2 structure.

Calculated values
- E (eV/f.u.) = -21.5
- polymorph energy (0 for the lowest one) (kcal/mol of atoms) = 30.78
- raw formation energy (eV/atom) = 1.23
- crystal system = tetragonal
- magnetization (μB/cell) = 0.4
- calculated volume (Å³/f.u.) = 83.63
- density of states at the Fermi level (states/eV/atom) = 0.91

a b c (Å): 2.983 2.983 9.399
angles (deg): 90.00 90.00 90.00
Positions (direct):
1 Ta 0.000 0.000 0.000
2 Os 0.000 0.000 0.500
3 Br 0.500 0.500 0.182
4 Br 0.500 0.500 0.818


Record 12
A plane-wave DFT calculation with PBE-GGA was carried out for a geometry-optimized TaOs2Br structure.

Calculated values
- E (eV/f.u.) = -32.8
- polymorph energy (0 for the lowest one) (kcal/mol of atoms) = 9.25
- raw formation energy (eV/atom) = 0.81
- crystal system = orthorhombic
- magnetization (μB/cell) = 0.0
- calculated volume (Å³/f.u.) = 64.29
- density of states at the Fermi level (states/eV/atom) = 0.81

a b c (Å): 2.948 4.607 4.733
angles (deg): 90.00 90.00 90.00
Positions (direct):
1 Ta 0.000 0.000 0.000
2 Os 0.000 0.500 0.500
3 Os 0.500 0.500 0.000
4 Br 0.500 0.000 0.500


Record 13
A plane-wave DFT calculation with PBE-GGA was carried out for a geometry-optimized TaOs2Br structure.

Calculated values
- E (eV/f.u.) = -31.9
- polymorph energy (0 for the lowest one) (kcal/mol of atoms) = 14.00
- raw formation energy (eV/atom) = 1.01
- crystal system = tetragonal
- magnetization (μB/cell) = 0.0
- calculated volume (Å³/f.u.) = 66.04
- density of states at the Fermi level (states/eV/atom) = 0.99

a b c (Å): 4.846 4.846 4.846
angles (deg): 129.52 129.52 74.17
Positions (direct):
1 Ta 0.000 0.000 0.000
2 Os 0.250 0.750 0.500
3 Os 0.750 0.250 0.500
4 Br 0.500 0.500 0.000


Record 14
A plane-wave DFT calculation with PBE-GGA was carried out for a geometry-optimized TaOsBr2 structure.

Calculated values
- E (eV/f.u.) = -21.3
- polymorph energy (0 for the lowest one) (kcal/mol of atoms) = 31.87
- raw formation energy (eV/atom) = 1.28
- crystal system = cubic
- magnetization (μB/cell) = 0.0
- calculated volume (Å³/f.u.) = 68.78
- density of states at the Fermi level (states/eV/atom) = 1.01

a b c (Å): 4.599 4.599 4.599
angles (deg): 60.00 60.00 60.00
Positions (direct):
1 Ta 0.000 0.000 0.000
2 Os 0.500 0.500 0.500
3 Br 0.250 0.250 0.250
4 Br 0.750 0.750 0.750


Record 15
A plane-wave DFT calculation with PBE-GGA was carried out for a geometry-optimized TaOsBr2 structure.

Calculated values
- E (eV/f.u.) = -22.4
- polymorph energy (0 for the lowest one) (kcal/mol of atoms) = 25.85
- raw formation energy (eV/atom) = 1.02
- crystal system = monoclinic
- magnetization (μB/cell) = 0.0
- calculated volume (Å³/f.u.) = 76.49
- density of states at the Fermi level (states/eV/atom) = 0.85

a b c (Å): 3.433 4.635 4.807
angles (deg): 90.00 90.71 90.00
Positions (direct):
1 Ta 0.000 0.000 0.000
2 Os 0.500 0.000 0.500
3 Br 0.240 0.500 0.251
4 Br 0.760 0.500 0.749